Crystalline NbVTcF2 at its relaxed geometry. Source: Alexandria via LeMat-Bulk, functional PBE with a Hubbard U.

Cell: 3.988 3.988 5.070 Å, 90.00 90.00 90.00°
Positions (direct):
Nb 0.000 0.000 0.000
V 0.500 0.500 0.000
Tc 0.500 0.500 0.500
F 0.000 0.500 0.500
F 0.500 0.000 0.500

Total moment   1.2 μB per formula unit
ρ   5.8 g cm⁻³
DOS(E_F)   0.929 states/eV/atom
Space-group type   P4/mmm
Final energy   -5.874 eV/atom